# 1
Below is a relaxed structure of MgAg3Au3, with properties calculated at the PBE level.

Geometry as POSCAR:
```
MgAg3Au3
1.0
4.8360 0.0000 0.0000
0.0000 6.7076 -3.8725
0.0000 -0.0001 7.7450
Au Ag Mg
6 6 2
Cartesian
3.6270 5.0606 4.4405 Au
3.6270 0.3313 6.0348 Au
3.6270 1.3153 1.1424 Au
1.2090 5.3923 2.7301 Au
1.2090 1.6470 -0.5680 Au
1.2090 6.3762 -2.1624 Au
3.6270 3.1792 -1.0850 Ag
1.2090 0.6500 4.4492 Ag
1.2090 3.5284 4.9575 Ag
3.6270 4.1781 1.6617 Ag
3.6270 6.0576 -0.5767 Ag
1.2090 2.5294 2.2107 Ag
1.2090 4.4718 -0.0002 Mg
3.6270 2.2357 3.8726 Mg
```

Values from the calculation:
- N(E_F) (states/eV/f.u.) = 3.002
- energy above the lowest structure with this stoichiometry (eV/f.u.) = 0.00

# 2
Below is a relaxed structure of Mg2Ag5Au4, with properties calculated at the PBE level.

Geometry as POSCAR:
```
Mg2Ag5Au4
1.0
-2.4187 -1.3187 -1.0477
3.4654 -6.1311 -0.2834
-4.4214 3.5523 9.8817
Au Ag Mg
4 5 2
Cartesian
-1.8127 -0.7368 5.1122 Au
-5.4593 0.3874 7.9700 Au
2.0846 -4.2849 0.5806 Au
-1.5619 -3.1607 3.4384 Au
-1.2094 -0.6593 -0.5238 Ag
1.0528 -4.4889 3.2194 Ag
-0.7425 -0.5304 2.3819 Ag
-4.4275 0.5914 5.3312 Ag
-2.6321 -3.3670 6.1688 Ag
-2.9073 -0.7369 7.6394 Mg
-0.4673 -3.1605 0.9112 Mg
```

Values from the calculation:
- energy (eV/f.u.) = -32.2
- N(E_F) (states/eV/f.u.) = 3.756

# 3
Below is a relaxed structure of Mg2AgAu, with properties calculated at the PBE level.

Geometry as POSCAR:
```
Mg2AgAu
1.0
4.8112 0.0289 -0.0734
3.8380 2.9015 -0.0734
0.9076 0.3075 5.4383
Au Mg Ag
1 2 1
Cartesian
7.1676 2.4285 3.9685 Au
4.7508 1.6096 2.6805 Mg
0.9352 0.3169 5.4035 Mg
2.3892 0.8095 1.3228 Ag
```

Values from the calculation:
- N(E_F) (states/eV/f.u.) = 1.182
- energy above the lowest structure with this stoichiometry (eV/f.u.) = 0.77

# 4
Below is a relaxed structure of MgAg7Au3, with properties calculated at the PBE level.

Geometry as POSCAR:
```
MgAg7Au3
1.0
-0.0797 -6.4183 2.6763
-0.9746 -2.2185 -5.3495
5.5023 0.7313 1.9178
Ag Au Mg
7 3 1
Cartesian
1.6529 -0.8611 0.0560 Ag
4.4199 -0.4933 1.0204 Ag
3.9298 -1.6090 -1.6697 Ag
0.5449 -3.5092 -0.2253 Ag
1.1750 -1.9928 -2.6111 Ag
2.8516 -4.2668 -1.9735 Ag
0.0484 -4.6394 -2.9505 Ag
4.9467 -5.3825 1.3310 Au
2.2056 -5.7468 0.3756 Au
2.6911 -4.6416 3.0406 Au
3.3069 -3.1834 0.7177 Mg
```

Values from the calculation:
- energy (eV/f.u.) = -31.8
- N(E_F) (states/eV/f.u.) = 2.924

# 5
Below is a relaxed structure of MgAgAu, with properties calculated at the PBE level.

Geometry as POSCAR:
```
MgAgAu
1.0
5.1214 0.0013 -0.0030
2.7094 4.3461 0.0030
-3.6701 -2.6155 2.4328
Ag Mg Au
1 1 1
Cartesian
7.8177 4.3401 0.0000 Ag
2.5813 1.4331 0.0000 Mg
5.2626 2.9216 0.0000 Au
```

Values from the calculation:
- N(E_F) (states/eV/f.u.) = 0.657
- energy above the lowest structure with this stoichiometry (eV/f.u.) = 0.08

# 6
Below is a relaxed structure of Mg4AgAu15, with properties calculated at the PBE level.

Geometry as POSCAR:
```
Mg4AgAu15
1.0
4.1102 0.0000 0.0000
0.0000 4.1102 0.0000
0.0000 0.0000 21.1260
Au Mg Ag
15 4 1
Cartesian
0.0000 2.0551 6.3424 Au
2.0551 2.0551 4.2456 Au
2.0551 2.0551 12.6672 Au
2.0551 0.0000 14.7836 Au
2.0551 2.0551 16.8805 Au
0.0000 2.0551 18.9778 Au
2.0551 2.0551 0.0000 Au
2.0551 0.0000 2.1483 Au
2.0551 0.0000 10.5630 Au
2.0551 0.0000 18.9778 Au
2.0551 0.0000 6.3424 Au
2.0551 2.0551 8.4588 Au
0.0000 2.0551 14.7836 Au
0.0000 2.0551 2.1483 Au
0.0000 2.0551 10.5630 Au
0.0000 0.0000 8.4545 Mg
0.0000 0.0000 16.9231 Mg
0.0000 0.0000 12.6715 Mg
0.0000 0.0000 4.2029 Mg
0.0000 0.0000 0.0000 Ag
```

Values from the calculation:
- energy (eV/f.u.) = -64.7
- N(E_F) (states/eV/f.u.) = 10.194

- N(E_F) of number 4 (MgAg7Au3)?
  2.924 states/eV/f.u.

- What is the N(E_F) in the third record?
  1.182 states/eV/f.u.